A plane-wave DFT calculation with PBE-GGA was carried out for a relaxed structure of BaSi.

## Properties
DOS at the Fermi energy: 4.86 states/eV/cell
energy relative to the elements, uncorrected: 208 meV/atom
space group: Pmmn (59)
total magnetization: 0.00 μB per atom

Unit cell a=3.6326 b=5.7479 c=6.7851 alpha=90.00 beta=90.00 gamma=90.00
Atoms (fractional coordinates):
1 Ba 0.2500 0.2500 0.2493
2 Ba 0.7500 0.7500 0.7507
3 Si 0.2500 0.2500 0.7488
4 Si 0.7500 0.7500 0.2512